A geometry-optimized CaZn3Pt structure. Source: the Alexandria database, functional PBE-GGA.

For the total energy, the calculation gives -13.5 eV/cell. Its energy above the lowest structure with this stoichiometry is 0.81 eV per formula unit.

abc: 4.841 4.841 4.841
angles: 90.00 90.00 90.00
Space group Pm-3m (No. 221)
One atom of each set of equivalent atoms:
Ca: 0.000 0.000 0.000 x1
Zn: 0.000 0.500 0.500 x3
Pt: 0.500 0.500 0.500 x1